Below is LaOs2Rh after structural relaxation, with properties calculated at the PBE level. Values from VASP.

Results
As for the space-group type: R3m, No. 160. Its volume is 17.2 Å³ per atom. The energy relative to the lowest polymorph listed for this composition comes out at 334.1 meV/atom. The value obtained for the density of states at the Fermi level is 7.47 states/eV/f.u. Its final energy is -8.173 eV per atom. For the formation enthalpy at 0 K, the calculation gives 511 meV/atom.

Geometry as Quantum ESPRESSO input:
```
&SYSTEM
  ibrav = 0, nat = 4, ntyp = 3
/
ATOMIC_SPECIES
La 138.91 La.upf
Os 190.23 Os.upf
Rh 102.91 Rh.upf
CELL_PARAMETERS angstrom
9.7982 -1.4267 -0.0056
9.7982 1.4267 -0.0056
9.5919 0.0000 2.4570
ATOMIC_POSITIONS crystal
La 0.2487 0.2487 0.2487
Os 0.0119 0.0119 0.0119
Os 0.7491 0.7491 0.7491
Rh 0.4903 0.4903 0.4903
```

***

Below is Tb2BeSi3 after structural relaxation, with properties calculated at the PBE level. Values from VASP.

Results
As for the space-group type: Fmmm, No. 69. Its volume is 18.0 Å³ per atom. The energy relative to the lowest polymorph listed for this composition comes out at 0.0 meV/atom. The value obtained for the density of states at the Fermi level is 1.03 states/eV/f.u. Its final energy is -5.571 eV per atom.

Geometry as Quantum ESPRESSO input:
```
&SYSTEM
  ibrav = 0, nat = 12, ntyp = 3
/
ATOMIC_SPECIES
Tb 158.93 Tb.upf
Be 9.01 Be.upf
Si 28.09 Si.upf
CELL_PARAMETERS angstrom
-4.6007 -0.6395 3.1977
-1.2960 -4.5662 -3.0448
6.4913 -1.2835 4.2438
ATOMIC_POSITIONS crystal
Tb 0.7500 0.2500 0.5000
Tb 0.7542 0.2458 0.0000
Tb 0.2500 0.7500 0.5000
Tb 0.2458 0.7542 0.0000
Be 0.6664 0.6664 0.3329
Be 0.3336 0.3336 0.6671
Si 0.8249 0.8249 0.1720
Si 0.6529 0.6529 0.8280
Si 0.1751 0.1751 0.8280
Si 0.3471 0.3471 0.1720
Si 0.1725 0.1725 0.3450
Si 0.8275 0.8275 0.6550
```

***

> Which formula does entry 2 have?

Tb2BeSi3